DFT (PBE+U) results for a relaxed structure of CrAsF3.

```
data_CrAsF3
_cell_length_a 4.369
_cell_length_b 4.369
_cell_length_c 4.369
_cell_angle_alpha 90.00
_cell_angle_beta 90.00
_cell_angle_gamma 90.00
_space_group_name_H-M_alt 'P m -3 m'
_space_group_IT_number 221
_space_group_name_Hall '-P 4 2 3'
loop_
_atom_site_label
_atom_site_type_symbol
_atom_site_fract_x
_atom_site_fract_y
_atom_site_fract_z
_atom_site_occupancy
Cr1 Cr 0.000 0.000 0.000 1
As1 As 0.500 0.500 0.500 1
F1 F 0.000 0.500 0.500 1
```

Summary:
Density of states at the Fermi level in states/eV per cell: 1.9
Volume in Å³/cell: 83.37
Total moment in μB per formula unit: 5.88
Total DFT energy (no corrections) in eV for the cell shown: -23.24